(1)
An optimized crystal structure of Li6Cd5Pb, computed with PBE-GGA.

Cell lengths 8.232, 14.265, 4.733 Å; angles 90.00, 124.92, 90.00 degrees
Space group C2/m (No. 12)
One atom of each set of equivalent atoms:
Li: 0.247 0.000 0.247 [4 per cell]
Li: 0.248 0.168 0.749 [8 per cell]
Cd: 0.000 0.000 0.500 [2 per cell]
Cd: 0.000 0.165 0.000 [4 per cell]
Cd: 0.000 0.330 0.500 [4 per cell]
Pb: 0.000 0.500 0.000 [2 per cell]

The calculation puts the formation energy at -0.2589 eV per atom. The calculation puts the density at 5.9 g/cm3. The value obtained for the total energy is -45.747 eV for the cell shown. The calculation puts the density of states at the Fermi level at 7.77 states/eV per cell. The energy relative to the lowest polymorph listed for this composition is 0.07 eV per formula unit.

(2)
An optimized crystal structure of InPdRh, computed with PBE-GGA.

Cell lengths 3.176, 3.176, 9.844 Å; angles 90.00, 90.00, 90.00 degrees
Space group I4mm (No. 107)
One atom of each set of equivalent atoms:
In: 0.000 0.000 0.000 [2 per cell]
Pd: 0.000 0.000 0.666 [2 per cell]
Rh: 0.000 0.000 0.340 [2 per cell]

The calculation puts the formation energy at -0.2502 eV per atom. The calculation puts the density at 10.8 g/cm3. The value obtained for the total energy is -32.067 eV for the cell shown. The calculation puts the density of states at the Fermi level at 4.05 states/eV per cell. The energy relative to the lowest polymorph listed for this composition is 0.00 eV per formula unit.

(3)
An optimized crystal structure of TmMg2Au4, computed with PBE-GGA.

Cell lengths 6.467, 6.516, 14.093 Å; angles 90.00, 90.00, 90.00 degrees
Space group Fmmm (No. 69)
One atom of each set of equivalent atoms:
Tm: 0.000 0.000 0.000 [4 per cell]
Mg: 0.000 0.000 0.257 [8 per cell]
Au: 0.250 0.250 0.132 [16 per cell]

The calculation puts the formation energy at -0.5521 eV per atom. The calculation puts the density at 11.2 g/cm3. The value obtained for the total energy is -98.538 eV for the cell shown. The calculation puts the density of states at the Fermi level at 10.85 states/eV per cell.

(4)
An optimized crystal structure of Tm2TeSe2, computed with PBE-GGA.

Cell lengths 7.138, 12.638, 7.110 Å; angles 90.00, 110.36, 90.00 degrees
Space group C2/c (No. 15)
One atom of each set of equivalent atoms:
Tm: 0.239 0.092 0.008 [8 per cell]
Te: 0.000 0.417 0.250 [4 per cell]
Se: 0.000 0.063 0.250 [4 per cell]
Se: 0.000 0.251 0.750 [4 per cell]

The calculation puts the density at 6.9 g/cm3. The value obtained for the total energy is -109.684 eV for the cell shown. The calculation puts the uncorrected formation energy at -1673 meV per atom. The energy relative to the lowest polymorph listed for this composition is 0.11 eV per formula unit.

(5)
An optimized crystal structure of Pm2ScTe, computed with PBE-GGA.

Cell lengths 5.523, 5.523, 3.767 Å; angles 90.00, 90.00, 90.00 degrees
Space group P4/mmm (No. 123)
One atom of each set of equivalent atoms:
Pm: 0.000 0.500 0.000 [2 per cell]
Sc: 0.000 0.000 0.500 [1 per cell]
Te: 0.500 0.500 0.500 [1 per cell]

The calculation puts the density at 6.7 g/cm3. The value obtained for the total energy is -20.893 eV for the cell shown. The calculation puts the density of states at the Fermi level at 4.89 states/eV per cell. The calculation puts the uncorrected formation energy at -480 meV per atom. The energy relative to the lowest polymorph listed for this composition is 0.36 eV per formula unit.

(6)
An optimized crystal structure of Pa8ReSb2, computed with PBE-GGA.

Cell lengths 14.923, 5.253, 7.459 Å; angles 90.00, 114.68, 90.00 degrees
Space group C2/m (No. 12)
One atom of each set of equivalent atoms:
Pa: 0.031 0.000 0.267 [4 per cell]
Pa: 0.088 0.500 0.910 [4 per cell]
Pa: 0.146 0.000 0.673 [4 per cell]
Pa: 0.167 0.500 0.392 [4 per cell]
Re: 0.000 0.500 0.500 [2 per cell]
Sb: 0.205 0.000 0.142 [4 per cell]

The calculation puts the density at 14.2 g/cm3. The value obtained for the total energy is -195.716 eV for the cell shown. The calculation puts the density of states at the Fermi level at 47.57 states/eV per cell. The calculation puts the uncorrected formation energy at -109 meV per atom.

(7)
An optimized crystal structure of Tb5TmPb5, computed with PBE-GGA.

Cell lengths 15.835, 6.271, 7.360 Å; angles 90.00, 103.51, 90.00 degrees
Space group C2/m (No. 12)
One atom of each set of equivalent atoms:
Tb: 0.000 0.000 0.000 [2 per cell]
Tb: 0.163 0.500 0.328 [4 per cell]
Tb: 0.164 0.500 0.830 [4 per cell]
Tm: 0.000 0.000 0.500 [2 per cell]
Pb: 0.000 0.500 0.500 [2 per cell]
Pb: 0.166 0.000 0.837 [4 per cell]
Pb: 0.167 0.000 0.336 [4 per cell]

The calculation puts the formation energy at -0.2714 eV per atom. The calculation puts the density at 9.3 g/cm3. The value obtained for the total energy is -98.299 eV for the cell shown. The calculation puts the density of states at the Fermi level at 17.43 states/eV per cell.

(8)
An optimized crystal structure of BaDyC3N6, computed with PBE-GGA.

Cell lengths 10.4236, 10.4236, 7.4428 Å; angles 90.00, 90.00, 120.00 degrees
Space group R32 (No. 155, hexagonal axes)
One atom of each set of equivalent atoms:
Ba: 0.0000 0.0000 0.0000 [3 per cell]
Dy: 0.0000 0.0000 0.5000 [3 per cell]
C: 0.0000 0.5014 0.0000 [9 per cell]
N: 0.0984 0.8983 0.2966 [18 per cell]

The calculation puts the density at 3.0 g/cm3. The value obtained for the total energy is -269.466 eV for the cell shown. The calculation puts the density of states at the Fermi level at 12.46 states/eV per cell. The calculation puts the uncorrected formation energy at -516 meV per atom.

(9)
An optimized crystal structure of ZrReAs2, computed with PBE-GGA.

Cell lengths 6.557, 6.557, 6.557 Å; angles 90.00, 90.00, 90.00 degrees
Space group F-43m (No. 216)
One atom of each set of equivalent atoms:
Zr: 0.000 0.000 0.000 [4 per cell]
Re: 0.250 0.250 0.250 [4 per cell]
As: 0.000 0.000 0.500 [4 per cell]
As: 0.250 0.250 0.750 [4 per cell]

The calculation puts the formation energy at 0.1266 eV per atom. The calculation puts the density at 10.1 g/cm3. The value obtained for the total energy is -119.156 eV for the cell shown. The calculation puts the density of states at the Fermi level at 3.50 states/eV per cell. The energy relative to the lowest polymorph listed for this composition is 2.13 eV per formula unit.

(10)
An optimized crystal structure of NiSb2Pd, computed with PBE-GGA.

Cell lengths 3.8992, 3.8992, 18.1717 Å; angles 90.00, 90.00, 120.00 degrees
Space group R3m (No. 160, hexagonal axes)
One atom of each set of equivalent atoms:
Ni: 0.0000 0.0000 0.0000 [3 per cell]
Sb: 0.0000 0.0000 0.4114 [3 per cell]
Sb: 0.0000 0.0000 0.5983 [3 per cell]
Pd: 0.0000 0.0000 0.8458 [3 per cell]

The calculation puts the density at 8.5 g/cm3. The value obtained for the total energy is -59.804 eV for the cell shown. The calculation puts the density of states at the Fermi level at 6.80 states/eV per cell. The calculation puts the uncorrected formation energy at -179 meV per atom.

(11)
An optimized crystal structure of AlAg2I, computed with PBE-GGA.

Cell lengths 7.101, 7.101, 8.831 Å; angles 90.00, 90.00, 90.00 degrees
Space group I-42d (No. 122)
One atom of each set of equivalent atoms:
Al: 0.000 0.000 0.000 [4 per cell]
Ag: 0.211 0.750 0.125 [8 per cell]
I: 0.000 0.000 0.500 [4 per cell]

The calculation puts the density at 5.5 g/cm3. The value obtained for the total energy is -40.367 eV for the cell shown. The calculation puts the density of states at the Fermi level at 0.95 states/eV per cell. The calculation puts the uncorrected formation energy at 226 meV per atom. The energy relative to the lowest polymorph listed for this composition is 0.00 eV per formula unit.

(12)
An optimized crystal structure of ZrCdPb2, computed with PBE-GGA.

Cell lengths 3.499, 4.384, 6.628 Å; angles 90.00, 90.00, 90.00 degrees
Space group Pmmm (No. 47)
One atom of each set of equivalent atoms:
Zr: 0.000 0.000 0.000 [1 per cell]
Cd: 0.000 0.000 0.500 [1 per cell]
Pb: 0.500 0.500 0.244 [2 per cell]

The calculation puts the formation energy at 0.0117 eV per atom. The calculation puts the density at 10.1 g/cm3. The value obtained for the total energy is -16.833 eV for the cell shown. The calculation puts the density of states at the Fermi level at 2.17 states/eV per cell.

(13)
An optimized crystal structure of Th3Cd2In3Os, computed with PBE-GGA.

Cell lengths 8.6380, 8.6380, 3.7605 Å; angles 90.00, 90.00, 120.00 degrees
Space group P-62m (No. 189)
One atom of each set of equivalent atoms:
Th: 0.0000 0.7460 0.0000 [3 per cell]
Cd: 0.3333 0.6667 0.0000 [2 per cell]
In: 0.0000 0.3960 0.5000 [3 per cell]
Os: 0.0000 0.0000 0.5000 [1 per cell]

The calculation puts the formation energy at -0.2191 eV per atom. The calculation puts the density at 9.9 g/cm3. The value obtained for the total energy is -45.507 eV for the cell shown. The calculation puts the density of states at the Fermi level at 3.12 states/eV per cell.